(1)
DFT (PBE-GGA) results for a relaxed MnGePCN crystal.

a b c (Å): 4.4492 2.7561 5.3136
angles (deg): 90.00 91.73 90.00
Atoms (fractional coordinates):
C1 0.1893 0.0000 0.8367
P1 0.8100 0.0000 0.9618
Ge1 0.7953 0.0000 0.4140
Mn1 0.4854 0.5000 0.7197
N1 0.2000 0.0000 0.5820

Results
ρ = 4.7 Mg/m³
DOS at the Fermi energy = 0.38 states/eV/atom
DFT total energy = -0.5143 Ry per atom
energy relative to the elements, uncorrected = 0.352 eV/atom
ΔE to the lowest computed polymorph = 5.96 kcal/mol of atoms


(2)
DFT (PBE-GGA) results for a relaxed Ta2IrBr crystal.

a b c (Å): 3.0049 3.0049 7.3616
angles (deg): 90.00 90.00 90.00
Atoms (fractional coordinates):
Br1 0.5000 0.5000 0.2500
Ta1 0.0000 0.0000 0.0002
Ta2 0.0000 0.0000 0.4998
Ir1 0.5000 0.5000 0.7500

Results
ρ = 15.8 Mg/m³
DOS at the Fermi energy = 0.28 states/eV/atom
DFT total energy = -0.6263 Ry per atom
energy relative to the elements, uncorrected = 0.039 eV/atom
ΔE to the lowest computed polymorph = 0.00 kcal/mol of atoms


(3)
DFT (PBE-GGA) results for a relaxed ScTaSbO6 crystal.

a b c (Å): 4.8351 4.8351 9.6702
angles (deg): 90.00 90.00 90.00
Atoms (fractional coordinates):
O1 0.8089 0.1911 0.5066
O2 0.3091 0.3091 0.3238
O3 0.1911 0.8089 0.5066
O4 0.7965 0.2035 0.1664
O5 0.7035 0.7035 0.6664
O6 0.3089 0.3089 0.0066
O7 0.6909 0.6909 0.3238
O8 0.8091 0.1909 0.8238
O9 0.2965 0.2965 0.6664
O10 0.1909 0.8091 0.8238
O11 0.2035 0.7965 0.1664
O12 0.6911 0.6911 0.0066
Ta1 0.0000 0.0000 0.6681
Ta2 0.5000 0.5000 0.1681
Sb1 0.5000 0.5000 0.5030
Sb2 0.0000 0.0000 0.0030
Sc1 0.5000 0.5000 0.8352
Sc2 0.0000 0.0000 0.3352

Results
ρ = 6.5 Mg/m³
DOS at the Fermi energy = 0.24 states/eV/atom
DFT total energy = -0.6084 Ry per atom
energy relative to the elements, uncorrected = -2.494 eV/atom


(4)
DFT (PBE-GGA) results for a relaxed MnCrOs2 crystal.

a b c (Å): 3.7552 3.7552 8.6133
angles (deg): 77.41 77.41 90.00
Atoms (fractional coordinates):
Os1 0.3750 0.3674 0.7500
Os2 0.8750 0.8826 0.7500
Os3 0.6326 0.1250 0.2500
Os4 0.1174 0.6250 0.2500
Cr1 0.2500 0.7500 0.5000
Cr2 0.5000 0.5000 0.0000
Mn1 0.0000 0.0000 0.0000
Mn2 0.7500 0.2500 0.5000

Results
energy of formation = 0.84 eV/atom
ρ = 14.0 Mg/m³
DOS at the Fermi energy = 1.27 states/eV/atom
DFT total energy = -0.6963 Ry per atom


(5)
DFT (PBE-GGA) results for a relaxed GePtC2I crystal.

a b c (Å): 3.9446 8.3553 3.9446
angles (deg): 90.00 90.00 90.00
Atoms (fractional coordinates):
Ge1 0.5000 0.5000 0.5000
C1 0.0000 0.0000 0.5000
C2 0.5000 0.0000 0.0000
I1 0.0000 0.5000 0.0000
Pt1 0.0000 0.0000 0.0000

Results
ρ = 5.3 Mg/m³
DOS at the Fermi energy = 0.65 states/eV/atom
DFT total energy = -0.3328 Ry per atom
energy relative to the elements, uncorrected = 1.603 eV/atom


(6)
DFT (PBE-GGA) results for a relaxed Hg2IrPb crystal.

a b c (Å): 10.5180 10.5180 7.8770
angles (deg): 48.11 48.11 90.00
Atoms (fractional coordinates):
Ir1 0.5000 0.5000 0.0000
Ir2 0.2500 0.7500 0.5000
Hg1 0.3738 0.6250 0.2500
Hg2 0.8750 0.6262 0.7500
Hg3 0.3762 0.1250 0.2500
Hg4 0.3750 0.6238 0.7500
Pb1 0.7500 0.2500 0.5000
Pb2 0.0000 0.0000 0.0000

Results
energy of formation = 0.26 eV/atom
ρ = 9.3 Mg/m³
DOS at the Fermi energy = 0.42 states/eV/atom
DFT total energy = -0.2227 Ry per atom


(7)
DFT (PBE-GGA) results for a relaxed Ba2AlTlSn2O7 crystal.

a b c (Å): 4.1364 4.1364 13.1992
angles (deg): 90.00 90.00 90.00
Atoms (fractional coordinates):
O1 0.0000 0.5000 0.4022
O2 0.5000 0.0000 0.4022
O3 0.0000 0.0000 0.7870
O4 0.5000 0.0000 0.5978
O5 0.5000 0.5000 0.0000
O6 0.0000 0.5000 0.5978
O7 0.0000 0.0000 0.2130
Al1 0.5000 0.5000 0.5000
Ba1 0.5000 0.5000 0.8120
Ba2 0.5000 0.5000 0.1880
Sn1 0.0000 0.0000 0.3688
Sn2 0.0000 0.0000 0.6312
Tl1 0.0000 0.0000 0.0000

Results
ρ = 6.3 Mg/m³
DOS at the Fermi energy = 0.09 states/eV/atom
DFT total energy = -0.4129 Ry per atom
energy relative to the elements, uncorrected = -1.566 eV/atom


(8)
DFT (PBE-GGA) results for a relaxed Re2PtW crystal.

a b c (Å): 4.8600 4.8600 2.7608
angles (deg): 90.00 90.00 109.86
Atoms (fractional coordinates):
Re1 0.0000 0.0000 0.0000
Re2 0.5000 0.5000 0.0000
W1 0.5000 0.0000 0.5000
Pt1 0.0000 0.5000 0.5000

Results
energy of formation = 0.03 eV/atom
ρ = 20.3 Mg/m³
DOS at the Fermi energy = 0.85 states/eV/atom
DFT total energy = -0.8044 Ry per atom
ΔE to the lowest computed polymorph = 3.10 kcal/mol of atoms


Look up the DOS at the Fermi energy of the seventh one. 0.09 states/eV/atom


Which value of DOS at the Fermi energy does entry 6 give? 0.42 states/eV/atom